Entry 1:
5
Lattice="5.105 0.000 0.000 0.000 5.105 0.000 0.000 0.000 4.600" Properties=species:S:1:pos:R:3 comment="LiCaVSb2 | Alexandria | PBE-GGA | relaxed" magnetic_moment_mub_per_atom=0.735 dft_energy_ev_per_atom=-4.12 vol_a3_per_atom=23.98 formation_energy_uncorrected_ev_per_atom=0.141 pbc="T T T"
Li 0.000 0.000 0.000
Ca 2.553 2.553 2.300
V 0.000 0.000 2.300
Sb 0.000 2.553 0.000
Sb 2.553 0.000 0.000

Entry 2:
5
Lattice="5.725 0.000 0.000 0.000 5.725 0.000 0.000 0.000 5.900" Properties=species:S:1:pos:R:3 comment="LiCaZnSb2 | Alexandria | PBE-GGA | relaxed" magnetic_moment_mub_per_atom=0.000 dft_energy_ev_per_atom=-2.14 vol_a3_per_atom=38.67 formation_energy_uncorrected_ev_per_atom=0.545 pbc="T T T"
Li 0.000 0.000 0.000
Ca 0.000 0.000 2.950
Zn 2.862 2.862 0.000
Sb 0.000 2.862 2.950
Sb 2.862 0.000 2.950

Entry 3:
4
Lattice="4.023 0.000 0.000 0.000 5.430 0.000 0.000 0.000 5.734" Properties=species:S:1:pos:R:3 comment="LiCa2Sc | Alexandria | PBE-GGA | relaxed" magnetic_moment_mub_per_atom=0.000 formation_energy_ev_per_fu=0.99 dft_energy_ev_per_atom=-2.81 vol_a3_per_atom=31.31 pbc="T T T"
Li 0.000 0.000 0.000
Ca 0.000 2.715 2.867
Ca 2.011 2.715 0.000
Sc 2.011 0.000 2.867

Entry 4:
6
Lattice="3.696 0.000 0.000 0.000 3.696 0.000 0.000 0.000 12.329" Properties=species:S:1:pos:R:3 comment="LiCaSc | Alexandria | PBE-GGA | relaxed" magnetic_moment_mub_per_atom=0.063 formation_energy_ev_per_fu=0.25 dft_energy_ev_per_atom=-3.33 vol_a3_per_atom=28.07 pbc="T T T"
Li 0.924 0.924 0.690
Li 2.772 2.772 11.639
Ca 0.924 0.924 9.409
Ca 2.772 2.772 2.920
Sc 0.924 0.924 5.311
Sc 2.772 2.772 7.019

Entry 5:
4
Lattice="0.000 3.745 3.745 3.745 0.000 3.745 3.745 3.745 0.000" Properties=species:S:1:pos:R:3 comment="Li2CaSc | Alexandria | PBE-GGA | relaxed" magnetic_moment_mub_per_atom=0.000 formation_energy_ev_per_fu=1.28 dft_energy_ev_per_atom=-2.72 vol_a3_per_atom=26.27 pbc="T T T"
Li 0.000 0.000 0.000
Li 1.873 1.873 1.873
Ca 5.618 5.618 5.618
Sc 3.745 3.745 3.745

Entry 6:
4
Lattice="-1.704 2.730 5.503 1.704 -2.730 5.503 1.704 2.730 -5.503" Properties=species:S:1:pos:R:3 comment="Li2CaSc | Alexandria | PBE-GGA | relaxed" magnetic_moment_mub_per_atom=0.000 formation_energy_ev_per_fu=0.76 dft_energy_ev_per_atom=-2.85 vol_a3_per_atom=25.59 pbc="T T T"
Li 0.000 0.000 0.000
Li 0.000 2.730 3.329
Ca 0.000 0.000 5.973
Sc 1.704 0.000 2.763

Entry 7:
4
Lattice="3.512 0.000 0.000 0.000 3.512 0.000 0.000 0.000 8.552" Properties=species:S:1:pos:R:3 comment="LiCaSc2 | Alexandria | PBE-GGA | relaxed" magnetic_moment_mub_per_atom=0.258 formation_energy_ev_per_fu=0.90 dft_energy_ev_per_atom=-3.92 vol_a3_per_atom=26.37 pbc="T T T"
Li 0.000 0.000 0.000
Ca 0.000 0.000 4.276
Sc 1.756 1.756 1.620
Sc 1.756 1.756 6.933

Entry 8:
4
Lattice="5.675 -1.717 0.000 5.675 1.717 0.000 -1.763 0.000 5.220" Properties=species:S:1:pos:R:3 comment="Li2CaSc | Alexandria | PBE-GGA | relaxed" magnetic_moment_mub_per_atom=0.000 formation_energy_ev_per_fu=0.72 dft_energy_ev_per_atom=-2.86 vol_a3_per_atom=25.44 pbc="T T T"
Li 0.000 0.000 0.000
Li 7.456 0.000 1.490
Ca 1.325 0.000 4.237
Sc 4.337 0.000 2.392